(one)
Entry from OQMD via LeMat-Bulk: an optimized crystal structure of Re2SeS3 (GGA-PBE).

Its total moment is 0.00 μB/cell.

It has space group P-1 (No. 2), with a = 6.4454 Å, b = 6.5699 Å, c = 6.7372 Å, α = 91.79°, β = 104.65° and γ = 118.54°. The distinct sites, in fractional coordinates, are Re at (0.0111, 0.2126, 0.0033), Re at (0.4400, 0.1839, 0.0088), Se at (0.2713, 0.3886, 0.7667), S at (0.2274, 0.8448, 0.7542), S at (0.2441, 0.1119, 0.2705) and S at (0.2499, 0.6329, 0.1785).


(two)
Entry from OQMD via LeMat-Bulk: an optimized crystal structure of Re2SeS3 (GGA-PBE).

Its total moment is 0.00 μB/cell.

It has space group Cm (No. 8), with a = 21.5079 Å, b = 3.0673 Å, c = 5.7735 Å, α = 90.00°, β = 90.28° and γ = 90.00°. The distinct sites, in fractional coordinates, are Re at (0.0000, 0.0000, 0.0000), Re at (0.0002, 0.5000, 0.4134), Se at (0.0726, 0.5000, 0.7721), S at (0.0792, 0.0000, 0.2872), S at (0.4212, 0.5000, 0.2878) and S at (0.4375, 0.0000, 0.7712).


Stability summary: most stable (one), least stable (two).


(one)
Entry from OQMD via LeMat-Bulk: an optimized crystal structure of ReTe2Se2S (GGA-PBE).

Its total moment is 0.00 μB/cell.

It has space group P-1 (No. 2), with a = 6.8690 Å, b = 7.2108 Å, c = 7.9301 Å, α = 116.99°, β = 90.93° and γ = 107.82°. The distinct sites, in fractional coordinates, are Re at (0.9996, 0.1957, 0.4960), Te at (0.0037, 0.7461, 0.9846), Te at (0.2365, 0.5244, 0.4117), Se at (0.2282, 0.4600, 0.8282), Se at (0.2530, 0.0103, 0.3749) and S at (0.2034, 0.9872, 0.8134).


(two)
Entry from OQMD via LeMat-Bulk: an optimized crystal structure of ReTe2Se2S (GGA-PBE).

Its total moment is 0.01 μB/cell.

It has space group P-1 (No. 2), with a = 6.8890 Å, b = 7.5450 Å, c = 8.0113 Å, α = 112.22°, β = 108.76° and γ = 100.72°. The distinct sites, in fractional coordinates, are Re at (0.2184, 0.0092, 0.0186), Te at (0.2401, 0.0262, 0.3700), Te at (0.4418, 0.6260, 0.6839), Se at (0.0627, 0.7953, 0.6384), Se at (0.4761, 0.8060, 0.0523) and S at (0.0467, 0.2428, 0.9766).


Stability summary: most stable (one), least stable (two).


(one)
Entry from OQMD via LeMat-Bulk: an optimized crystal structure of ReTe2Se2S (GGA-PBE).

Its total moment is 0.00 μB/cell.

It has space group P-1 (No. 2), with a = 6.9642 Å, b = 7.0694 Å, c = 7.9124 Å, α = 63.59°, β = 74.73° and γ = 72.39°. The distinct sites, in fractional coordinates, are Re at (0.0029, 0.2016, 0.4977), Te at (0.0017, 0.7320, 0.0214), Te at (0.2668, 0.8535, 0.1694), Se at (0.1996, 0.3887, 0.6096), Se at (0.2452, 0.3113, 0.1994) and S at (0.2097, 0.8638, 0.6416).


(two)
Entry from OQMD via LeMat-Bulk: an optimized crystal structure of ReTe2Se2S (GGA-PBE).

Its total moment is 0.00 μB/cell.

It has space group P-1 (No. 2), with a = 6.7296 Å, b = 7.3867 Å, c = 8.0333 Å, α = 101.93°, β = 112.68° and γ = 104.50°. The distinct sites, in fractional coordinates, are Re at (0.2427, 0.0064, 0.0336), Te at (0.0675, 0.7422, 0.6627), Te at (0.2622, 0.0158, 0.3829), Se at (0.0673, 0.2619, 0.9577), Se at (0.4414, 0.6507, 0.7258) and S at (0.4762, 0.1354, 0.8845).


(three)
Entry from OQMD via LeMat-Bulk: an optimized crystal structure of ReTe2Se2S (GGA-PBE).

Its total moment is 0.00 μB/cell.

It has space group P-1 (No. 2), with a = 6.9024 Å, b = 7.0811 Å, c = 7.9493 Å, α = 116.19°, β = 90.84° and γ = 108.56°. The distinct sites, in fractional coordinates, are Re at (0.0025, 0.2961, 0.0065), Te at (0.0010, 0.2489, 0.4787), Te at (0.2656, 0.9874, 0.3401), Se at (0.2062, 0.0125, 0.9027), Se at (0.2405, 0.5091, 0.8658) and S at (0.2172, 0.4821, 0.3000).


Stability summary: most stable (one), least stable (two).


(one)
Entry from OQMD via LeMat-Bulk: an optimized crystal structure of ReTe2Se2S (GGA-PBE).

Its total moment is 0.01 μB/cell.

It has space group P-1 (No. 2), with a = 7.2474 Å, b = 7.7027 Å, c = 7.7129 Å, α = 102.13°, β = 103.90° and γ = 112.17°. The distinct sites, in fractional coordinates, are Re at (0.2132, 0.0200, 0.0048), Te at (0.2363, 0.3807, 0.0228), Te at (0.4653, 0.0620, 0.7914), Se at (0.0580, 0.9552, 0.2558), Se at (0.4660, 0.7235, 0.6826) and S at (0.0372, 0.6692, 0.8333).


(two)
Entry from OQMD via LeMat-Bulk: an optimized crystal structure of ReTe2Se2S (GGA-PBE).

Its total moment is 0.00 μB/cell.

It has space group P-1 (No. 2), with a = 7.0059 Å, b = 7.0492 Å, c = 7.9865 Å, α = 63.83°, β = 72.38° and γ = 71.47°. The distinct sites, in fractional coordinates, are Re at (0.0048, 0.2924, 0.4964), Te at (0.0147, 0.2504, 0.0217), Te at (0.2579, 0.8157, 0.1494), Se at (0.1982, 0.8811, 0.6024), Se at (0.2400, 0.3673, 0.6298) and S at (0.2248, 0.3446, 0.2091).


Stability summary: most stable (two), least stable (one).


(one)
Entry from OQMD via LeMat-Bulk: an optimized crystal structure of ReTe2Se2S (GGA-PBE).

Its total moment is 0.01 μB/cell.

It has space group P-1 (No. 2), with a = 6.7536 Å, b = 7.3383 Å, c = 7.8637 Å, α = 102.92°, β = 112.00° and γ = 102.91°. The distinct sites, in fractional coordinates, are Re at (0.2336, 0.4960, 0.0226), Te at (0.2718, 0.5111, 0.3886), Te at (0.4301, 0.1446, 0.7328), Se at (0.0657, 0.7623, 0.9555), Se at (0.0686, 0.2627, 0.6670) and S at (0.5000, 0.3322, 0.0864).


(two)
Entry from OQMD via LeMat-Bulk: an optimized crystal structure of ReTe2Se2S (GGA-PBE).

Its total moment is 0.00 μB/cell.

It has space group P-1 (No. 2), with a = 6.8419 Å, b = 7.1862 Å, c = 7.9314 Å, α = 116.87°, β = 91.11° and γ = 108.08°. The distinct sites, in fractional coordinates, are Re at (0.0000, 0.1913, 0.9996), Te at (0.0048, 0.7426, 0.4843), Te at (0.2366, 0.5244, 0.9076), Se at (0.2344, 0.0021, 0.3257), Se at (0.2356, 0.4604, 0.3224) and S at (0.2291, 0.0064, 0.8781).


(three)
Entry from OQMD via LeMat-Bulk: an optimized crystal structure of ReTe2Se2S (GGA-PBE).

Its total moment is 0.01 μB/cell.

It has space group P-1 (No. 2), with a = 7.2100 Å, b = 7.3448 Å, c = 7.6055 Å, α = 94.35°, β = 105.76° and γ = 108.91°. The distinct sites, in fractional coordinates, are Re at (0.2255, 0.0403, 0.0155), Te at (0.2648, 0.4298, 0.0352), Te at (0.4764, 0.0939, 0.7864), Se at (0.0651, 0.6909, 0.8296), Se at (0.0677, 0.0202, 0.2696) and S at (0.4651, 0.7591, 0.7296).


(four)
Entry from OQMD via LeMat-Bulk: an optimized crystal structure of ReTe2Se2S (GGA-PBE).

Its total moment is 0.02 μB/cell.

It has space group P-1 (No. 2), with a = 6.9907 Å, b = 7.6975 Å, c = 7.9188 Å, α = 112.40°, β = 110.30° and γ = 101.85°. The distinct sites, in fractional coordinates, are Re at (0.2218, 0.0092, 0.0196), Te at (0.2442, 0.0404, 0.3793), Te at (0.4194, 0.6240, 0.6605), Se at (0.0652, 0.2670, 0.9932), Se at (0.4641, 0.8022, 0.0376) and S at (0.0476, 0.8215, 0.6495).


Stability summary: most stable (two), least stable (three).


(one)
Entry from OQMD via LeMat-Bulk: an optimized crystal structure of ReTe2Se2S (GGA-PBE).

Its total moment is 0.00 μB/cell.

It has space group P-1 (No. 2), with a = 6.7567 Å, b = 6.9443 Å, c = 7.8618 Å, α = 76.47°, β = 70.47° and γ = 81.48°. The distinct sites, in fractional coordinates, are Re at (0.2091, 0.0012, 0.4906), Te at (0.2479, 0.9277, 0.9859), Te at (0.2599, 0.2621, 0.1657), Se at (0.1701, 0.7094, 0.7607), Se at (0.4166, 0.1605, 0.6359) and S at (0.0726, 0.7928, 0.3710).


(two)
Entry from OQMD via LeMat-Bulk: an optimized crystal structure of ReTe2Se2S (GGA-PBE).

Its total moment is 0.01 μB/cell.

It has space group P-1 (No. 2), with a = 6.9961 Å, b = 7.0943 Å, c = 8.1624 Å, α = 67.83°, β = 66.85° and γ = 74.97°. The distinct sites, in fractional coordinates, are Re at (0.1944, 0.0130, 0.4744), Te at (0.2309, 0.9512, 0.9736), Te at (0.4116, 0.2274, 0.5600), Se at (0.2349, 0.7136, 0.7629), Se at (0.3075, 0.2061, 0.1438) and S at (0.0853, 0.7737, 0.4075).


Stability summary: most stable (one), least stable (two).


(one)
Entry from OQMD via LeMat-Bulk: an optimized crystal structure of Re2TeSeS2 (GGA-PBE).

Its total moment is 0.00 μB/cell.

It has space group P-1 (No. 2), with a = 6.6326 Å, b = 6.8564 Å, c = 7.0053 Å, α = 91.58°, β = 103.80° and γ = 118.58°. The distinct sites, in fractional coordinates, are Re at (0.0103, 0.1999, 0.0041), Re at (0.4313, 0.1796, 0.0092), Te at (0.2557, 0.6327, 0.2211), Se at (0.2793, 0.3965, 0.7916), S at (0.2336, 0.1054, 0.2630) and S at (0.2398, 0.8538, 0.7757).


(two)
Entry from OQMD via LeMat-Bulk: an optimized crystal structure of Re2TeSeS2 (GGA-PBE).

Its total moment is 0.00 μB/cell.

It has space group P-1 (No. 2), with a = 6.6035 Å, b = 6.7294 Å, c = 7.1052 Å, α = 91.23°, β = 103.69° and γ = 118.23°. The distinct sites, in fractional coordinates, are Re at (0.0107, 0.2122, 0.0031), Re at (0.4356, 0.1770, 0.0109), Te at (0.2784, 0.3940, 0.7558), Se at (0.2282, 0.8493, 0.7443), S at (0.2285, 0.0998, 0.2501) and S at (0.2422, 0.6271, 0.1543).


Stability summary: most stable (one), least stable (two).


(one)
Entry from OQMD via LeMat-Bulk: an optimized crystal structure of ReTeS (GGA-PBE).

Its total moment is 0.00 μB/cell.

It has space group P-1 (No. 2), with a = 6.7040 Å, b = 6.8132 Å, c = 7.2309 Å, α = 92.42°, β = 101.77° and γ = 118.56°. The distinct sites, in fractional coordinates, are Re at (0.0135, 0.2138, 0.0040), Re at (0.4327, 0.1775, 0.0105), Te at (0.2276, 0.8411, 0.7212), Te at (0.2907, 0.3938, 0.7630), S at (0.2173, 0.0990, 0.2411) and S at (0.2364, 0.6296, 0.1429).


(two)
Entry from OQMD via LeMat-Bulk: an optimized crystal structure of ReTeS (GGA-PBE).

Its total moment is 0.00 μB/cell.

It has space group P-1 (No. 2), with a = 6.7442 Å, b = 6.9779 Å, c = 7.0304 Å, α = 91.56°, β = 104.57° and γ = 118.19°. The distinct sites, in fractional coordinates, are Re at (0.0084, 0.1972, 0.0055), Re at (0.4296, 0.1714, 0.0119), Te at (0.2557, 0.6321, 0.2122), Te at (0.2722, 0.3949, 0.7683), S at (0.2337, 0.1022, 0.2600) and S at (0.2366, 0.8541, 0.7745).


Stability summary: most stable (two), least stable (one).


(one)
Entry from OQMD via LeMat-Bulk: an optimized crystal structure of SmReSb (GGA-PBE).

Its total moment is 4.99 μB/cell.

It has space group F-43m (No. 216), with a = 6.9076 Å, b = 6.9076 Å, c = 6.9076 Å, α = 90.00°, β = 90.00° and γ = 90.00°. The distinct sites, in fractional coordinates, are Sm at (0.0000, 0.0000, 0.0000), Re at (0.2500, 0.2500, 0.7500) and Sb at (0.2500, 0.2500, 0.2500).


(two)
Entry from OQMD via LeMat-Bulk: an optimized crystal structure of SmReSb (GGA-PBE).

Its total moment is 5.50 μB/cell.

It has space group F-43m (No. 216), with a = 6.7184 Å, b = 6.7184 Å, c = 6.7184 Å, α = 90.00°, β = 90.00° and γ = 90.00°. The distinct sites, in fractional coordinates, are Sm at (0.0000, 0.0000, 0.0000), Re at (0.0000, 0.0000, 0.5000) and Sb at (0.2500, 0.2500, 0.7500).


Stability summary: most stable (two), least stable (one).